## AgBr3 (GGA-PBE)

Data for a relaxed structure of AgBr3.

a b c (Å): 5.1081 10.5850 4.5990
angles (deg): 90.00 90.00 90.00
Space group Cmmm (No. 65)
Asymmetric unit:
1 Ag 0.0000 0.0000 0.0000 [2 per cell]
2 Br 0.0000 0.2197 0.5000 [4 per cell]
3 Br 0.0000 0.5000 0.0000 [2 per cell]

Properties
- magnetic moment (Bohr magnetons per cell) = 0.000
- uncorrected formation energy (eV/atom) = -0.03